# 1
YLuNi2Sb2: relaxed, PBE-GGA.

Lattice parameters (Å, degrees): 8.931 4.463 13.391 90.00 109.45 90.00
Fractional coordinates of all 24 atoms:
Lu 0.687 0.500 0.375
Lu 0.188 0.500 0.376
Lu 0.562 0.000 0.625
Lu 0.437 0.500 0.875
Ni 0.000 0.000 0.000
Ni 0.877 0.500 0.253
Ni 0.377 0.500 0.253
Ni 0.746 0.000 0.499
Ni 0.252 0.000 0.499
Ni 0.621 0.500 0.748
Ni 0.129 0.500 0.751
Ni 0.499 0.000 0.997
Sb 0.563 0.500 0.125
Sb 0.063 0.500 0.127
Sb 0.938 0.000 0.376
Sb 0.438 0.000 0.376
Sb 0.809 0.500 0.624
Sb 0.315 0.500 0.624
Sb 0.684 0.000 0.873
Sb 0.190 0.000 0.875
Y 0.812 0.000 0.125
Y 0.313 0.000 0.126
Y 0.062 0.000 0.625
Y 0.937 0.500 0.875

Values from the calculation:
Crystal system: monoclinic
Calculated volume (Å³/atom): 20.97

=====

# 2
LuZnNiSb: relaxed, PBE-GGA.

Lattice parameters (Å, degrees): 4.740 4.740 4.740 60.00 60.00 60.00
Fractional coordinates of all 4 atoms:
Lu 0.250 0.250 0.250
Ni 0.750 0.750 0.750
Sb 0.000 0.000 0.000
Zn 0.500 0.500 0.500

Values from the calculation:
Crystal system: cubic
Calculated volume (Å³/atom): 18.83

=====

| no. | E_tot (Ha/atom) |
| --- | --- |
| 1 | -0.219 |
| 2 | -0.150 |